Record 1
Material: ZrNbSn2As
Method: DFT, PBE-GGA
State: optimized geometry

abc: 5.1896 5.1896 4.9189
angles: 90.00 90.00 90.00
Space group P4/mmm (No. 123)
Inequivalent atoms, fractional coordinates:
1 Zr 0.0000 0.0000 0.0000 [1 per cell]
2 Nb 0.5000 0.5000 0.0000 [1 per cell]
3 Sn 0.0000 0.5000 0.5000 [2 per cell]
4 As 0.0000 0.0000 0.5000 [1 per cell]

Output
The value obtained for the density of states at the Fermi level is 4.57 states/eV per cell. The total energy is -5.38 eV per atom. Its energy relative to the elements is 876 meV/atom.

---

Record 2
Material: SrNbAs2
Method: DFT, PBE-GGA
State: optimized geometry

abc: 7.0055 7.0055 7.0055
angles: 90.00 90.00 90.00
Space group Fm-3m (No. 225)
Inequivalent atoms, fractional coordinates:
1 Sr 0.0000 0.0000 0.0000 [4 per cell]
2 Nb 0.0000 0.0000 0.5000 [4 per cell]
3 As 0.2500 0.2500 0.2500 [8 per cell]

Output
The value obtained for the density of states at the Fermi level is 9.96 states/eV per cell. The total energy is -5.54 eV per atom. Its excess energy over the best structure of this formula in the dataset is 462 meV per atom. Its energy relative to the elements is -279 meV/atom.

---

Record 3
Material: SrNb2As2
Method: DFT, PBE-GGA
State: optimized geometry

abc: 4.0557 4.0557 13.5919
angles: 90.00 90.00 90.00
Space group I4/mmm (No. 139)
Inequivalent atoms, fractional coordinates:
1 Sr 0.0000 0.0000 0.0000 [2 per cell]
2 Nb 0.0000 0.5000 0.2500 [4 per cell]
3 As 0.0000 0.0000 0.3786 [4 per cell]

Output
The value obtained for the density of states at the Fermi level is 3.99 states/eV per cell. The total energy is -6.95 eV per atom. Its excess energy over the best structure of this formula in the dataset is 0 meV per atom. Its energy relative to the elements is -729 meV/atom.

---

Record 4
Material: Sr2NbAs2
Method: DFT, PBE-GGA
State: optimized geometry

abc: 7.3498 7.3498 4.6729
angles: 90.00 90.00 90.00
Space group P4/mbm (No. 127)
Inequivalent atoms, fractional coordinates:
1 Sr 0.1582 0.3418 0.0000 [4 per cell]
2 Nb 0.0000 0.0000 0.5000 [2 per cell]
3 As 0.1600 0.6600 0.5000 [4 per cell]

Output
The value obtained for the density of states at the Fermi level is 6.79 states/eV per cell. The total energy is -5.11 eV per atom. Its energy relative to the elements is -559 meV/atom.

---

Record 5
Material: SrNbAs3
Method: DFT, PBE-GGA
State: optimized geometry

abc: 5.0693 5.0693 5.0693
angles: 90.00 90.00 90.00
Space group Pm-3m (No. 221)
Inequivalent atoms, fractional coordinates:
1 Sr 0.0000 0.0000 0.0000 [1 per cell]
2 Nb 0.5000 0.5000 0.5000 [1 per cell]
3 As 0.0000 0.5000 0.5000 [3 per cell]

Output
The value obtained for the density of states at the Fermi level is 5.23 states/eV per cell. The total energy is -5.57 eV per atom. Its excess energy over the best structure of this formula in the dataset is 0 meV per atom. Its energy relative to the elements is -433 meV/atom.

---

Record 6
Material: SrNbAs2
Method: DFT, PBE-GGA
State: optimized geometry

abc: 7.3959 7.3959 8.0920
angles: 90.00 90.00 90.00
Space group I-42d (No. 122)
Inequivalent atoms, fractional coordinates:
1 Sr 0.0000 0.0000 0.0000 [4 per cell]
2 Nb 0.0000 0.0000 0.5000 [4 per cell]
3 As 0.1886 0.2500 0.6250 [8 per cell]

Output
The value obtained for the density of states at the Fermi level is 3.22 states/eV per cell. The total energy is -5.71 eV per atom. Its excess energy over the best structure of this formula in the dataset is 292 meV per atom. Its energy relative to the elements is -450 meV/atom.

---

Record 7
Material: SrNbAs3
Method: DFT, PBE-GGA
State: optimized geometry

abc: 5.2921 5.2921 5.2921
angles: 90.00 90.00 90.00
Space group Pm-3m (No. 221)
Inequivalent atoms, fractional coordinates:
1 Sr 0.0000 0.0000 0.0000 [1 per cell]
2 Nb 0.5000 0.5000 0.5000 [1 per cell]
3 As 0.0000 0.0000 0.5000 [3 per cell]

Output
The value obtained for the density of states at the Fermi level is 11.12 states/eV per cell. The total energy is -3.54 eV per atom. Its excess energy over the best structure of this formula in the dataset is 2036 meV per atom. Its energy relative to the elements is 1602 meV/atom.

---

Record 8
Material: SrNbAs2
Method: DFT, PBE-GGA
State: optimized geometry

abc: 3.8647 3.8647 21.4916
angles: 90.00 90.00 120.00
Space group R-3m (No. 166, hexagonal axes)
Inequivalent atoms, fractional coordinates:
1 Sr 0.0000 0.0000 0.0000 [3 per cell]
2 Nb 0.0000 0.0000 0.5000 [3 per cell]
3 As 0.0000 0.0000 0.2362 [6 per cell]

Output
The value obtained for the density of states at the Fermi level is 8.58 states/eV per cell. The total energy is -6.00 eV per atom. Its excess energy over the best structure of this formula in the dataset is 0 meV per atom. Its energy relative to the elements is -742 meV/atom.

---

Record 9
Material: Sr3NbAs
Method: DFT, PBE-GGA
State: optimized geometry

abc: 5.9455 5.9455 5.9455
angles: 90.00 90.00 90.00
Space group Pm-3m (No. 221)
Inequivalent atoms, fractional coordinates:
1 Sr 0.0000 0.0000 0.5000 [3 per cell]
2 Nb 0.5000 0.5000 0.5000 [1 per cell]
3 As 0.0000 0.0000 0.0000 [1 per cell]

Output
The value obtained for the density of states at the Fermi level is 1.76 states/eV per cell. The total energy is -3.70 eV per atom. Its excess energy over the best structure of this formula in the dataset is 0 meV per atom. Its energy relative to the elements is 255 meV/atom.

---

Record 10
Material: SrNb2As2
Method: DFT, PBE-GGA
State: optimized geometry

abc: 5.0214 5.0214 8.8934
angles: 90.00 90.00 90.00
Space group I4/mmm (No. 139)
Inequivalent atoms, fractional coordinates:
1 Sr 0.0000 0.0000 0.0000 [2 per cell]
2 Nb 0.0000 0.0000 0.3626 [4 per cell]
3 As 0.0000 0.5000 0.2500 [4 per cell]

Output
The value obtained for the density of states at the Fermi level is 3.31 states/eV per cell. The total energy is -6.61 eV per atom. Its excess energy over the best structure of this formula in the dataset is 347 meV per atom. Its energy relative to the elements is -382 meV/atom.

---

Record 11
Material: Sr2NbAs
Method: DFT, PBE-GGA
State: optimized geometry

abc: 11.3713 11.3713 5.0298
angles: 90.00 90.00 90.00
Space group I-42d (No. 122)
Inequivalent atoms, fractional coordinates:
1 Sr 0.0934 0.7500 0.1250 [8 per cell]
2 Nb 0.0000 0.0000 0.5000 [4 per cell]
3 As 0.0000 0.0000 0.0000 [4 per cell]

Output
The value obtained for the density of states at the Fermi level is 14.48 states/eV per cell. The total energy is -4.39 eV per atom. Its energy relative to the elements is 134 meV/atom.

---

Record 12
Material: Sr3NbAs
Method: DFT, PBE-GGA
State: optimized geometry

abc: 5.6709 5.6709 5.6709
angles: 90.00 90.00 90.00
Space group Pm-3m (No. 221)
Inequivalent atoms, fractional coordinates:
1 Sr 0.0000 0.0000 0.5000 [3 per cell]
2 Nb 0.0000 0.0000 0.0000 [1 per cell]
3 As 0.5000 0.5000 0.5000 [1 per cell]

Output
The value obtained for the density of states at the Fermi level is 6.18 states/eV per cell. The total energy is -3.10 eV per atom. Its excess energy over the best structure of this formula in the dataset is 595 meV per atom. Its energy relative to the elements is 849 meV/atom.

---

Record 13
Material: TaNb2As
Method: DFT, PBE-GGA
State: optimized geometry

abc: 10.4034 10.4034 5.1810
angles: 90.00 90.00 90.00
Space group I-4 (No. 82)
Inequivalent atoms, fractional coordinates:
1 Ta 0.1905 0.2161 0.2428 [8 per cell]
2 Nb 0.0159 0.6444 0.9876 [8 per cell]
3 Nb 0.0837 0.0963 0.7635 [8 per cell]
4 As 0.0265 0.7088 0.4880 [8 per cell]

Output
The value obtained for the density of states at the Fermi level is 21.93 states/eV per cell. The total energy is -9.56 eV per atom. Its energy relative to the elements is -402 meV/atom.

---

Record 14
Material: TaNb2As2
Method: DFT, PBE-GGA
State: optimized geometry

abc: 7.0523 7.0523 3.4413
angles: 90.00 90.00 90.00
Space group P4/mbm (No. 127)
Inequivalent atoms, fractional coordinates:
1 Ta 0.0000 0.0000 0.0000 [2 per cell]
2 Nb 0.1509 0.3491 0.5000 [4 per cell]
3 As 0.1489 0.6489 0.0000 [4 per cell]

Output
The value obtained for the density of states at the Fermi level is 8.46 states/eV per cell. The total energy is -8.62 eV per atom. Its energy relative to the elements is -360 meV/atom.

---

Record 15
Material: Ta3Nb5As12
Method: DFT, PBE-GGA
State: optimized geometry

abc: 15.2252 15.2252 15.2252
angles: 90.00 90.00 90.00
Space group Ia-3d (No. 230)
Inequivalent atoms, fractional coordinates:
1 Ta 0.0000 0.2500 0.1250 [24 per cell]
2 Nb 0.0000 0.0000 0.0000 [16 per cell]
3 Nb 0.0000 0.2500 0.3750 [24 per cell]
4 As 0.0223 0.0813 0.6537 [96 per cell]

Output
The value obtained for the density of states at the Fermi level is 142.66 states/eV per cell. The total energy is -6.92 eV per atom. Its energy relative to the elements is 161 meV/atom.

---

Record 16
Material: Ta3NbAs
Method: DFT, PBE-GGA
State: optimized geometry

abc: 4.8834 4.8834 4.8834
angles: 90.00 90.00 90.00
Space group Pm-3m (No. 221)
Inequivalent atoms, fractional coordinates:
1 Ta 0.0000 0.0000 0.5000 [3 per cell]
2 Nb 0.0000 0.0000 0.0000 [1 per cell]
3 As 0.5000 0.5000 0.5000 [1 per cell]

Output
The value obtained for the density of states at the Fermi level is 5.91 states/eV per cell. The total energy is -8.41 eV per atom. Its excess energy over the best structure of this formula in the dataset is 1484 meV per atom. Its energy relative to the elements is 1643 meV/atom.

---

Record 17
Material: TaNbAs2
Method: DFT, PBE-GGA
State: optimized geometry

abc: 5.8240 5.8240 11.6042
angles: 90.00 90.00 90.00
Space group I-42d (No. 122)
Inequivalent atoms, fractional coordinates:
1 Ta 0.0000 0.0000 0.0000 [4 per cell]
2 Nb 0.0000 0.0000 0.5000 [4 per cell]
3 As 0.2464 0.2500 0.1250 [8 per cell]

Output
The value obtained for the density of states at the Fermi level is 17.70 states/eV per cell. The total energy is -7.42 eV per atom. Its excess energy over the best structure of this formula in the dataset is 742 meV per atom. Its energy relative to the elements is 390 meV/atom.

---

Record 18
Material: TaNb2As
Method: DFT, PBE-GGA
State: optimized geometry

abc: 7.7865 7.7865 5.1305
angles: 90.00 90.00 90.00
Space group I-42d (No. 122)
Inequivalent atoms, fractional coordinates:
1 Ta 0.0000 0.0000 0.0000 [4 per cell]
2 Nb 0.1934 0.7500 0.6250 [8 per cell]
3 As 0.0000 0.0000 0.5000 [4 per cell]

Output
The value obtained for the density of states at the Fermi level is 14.34 states/eV per cell. The total energy is -8.81 eV per atom. Its energy relative to the elements is 346 meV/atom.

---

Record 19
Material: Ta5NbAs2
Method: DFT, PBE-GGA
State: optimized geometry

abc: 3.3427 6.7864 12.8446
angles: 90.00 90.00 90.00
Space group Immm (No. 71)
Inequivalent atoms, fractional coordinates:
1 Ta 0.0000 0.0000 0.0000 [2 per cell]
2 Ta 0.0000 0.2435 0.3752 [8 per cell]
3 Nb 0.0000 0.5000 0.0000 [2 per cell]
4 As 0.0000 0.0000 0.2152 [4 per cell]

Output
The value obtained for the density of states at the Fermi level is 10.33 states/eV per cell. The total energy is -10.07 eV per atom. Its energy relative to the elements is -240 meV/atom.

---

Record 20
Material: TaNb3As
Method: DFT, PBE-GGA
State: optimized geometry

abc: 4.7143 4.7143 4.7143
angles: 90.00 90.00 90.00
Space group Pm-3m (No. 221)
Inequivalent atoms, fractional coordinates:
1 Ta 0.0000 0.0000 0.0000 [1 per cell]
2 Nb 0.0000 0.5000 0.5000 [3 per cell]
3 As 0.5000 0.5000 0.5000 [1 per cell]

Output
The value obtained for the density of states at the Fermi level is 7.04 states/eV per cell. The total energy is -8.62 eV per atom. Its excess energy over the best structure of this formula in the dataset is 716 meV per atom. Its energy relative to the elements is 726 meV/atom.

---

Record 21
Material: Ta3NbAs
Method: DFT, PBE-GGA
State: optimized geometry

abc: 4.7051 4.7051 4.7051
angles: 90.00 90.00 90.00
Space group Pm-3m (No. 221)
Inequivalent atoms, fractional coordinates:
1 Ta 0.0000 0.0000 0.5000 [3 per cell]
2 Nb 0.5000 0.5000 0.5000 [1 per cell]
3 As 0.0000 0.0000 0.0000 [1 per cell]

Output
The value obtained for the density of states at the Fermi level is 7.09 states/eV per cell. The total energy is -9.21 eV per atom. Its excess energy over the best structure of this formula in the dataset is 686 meV per atom. Its energy relative to the elements is 845 meV/atom.

---

Record 22
Material: TaNb3As
Method: DFT, PBE-GGA
State: optimized geometry

abc: 4.9005 4.9005 4.9005
angles: 90.00 90.00 90.00
Space group Pm-3m (No. 221)
Inequivalent atoms, fractional coordinates:
1 Ta 0.0000 0.0000 0.0000 [1 per cell]
2 Nb 0.0000 0.0000 0.5000 [3 per cell]
3 As 0.5000 0.5000 0.5000 [1 per cell]

Output
The value obtained for the density of states at the Fermi level is 7.34 states/eV per cell. The total energy is -7.91 eV per atom. Its excess energy over the best structure of this formula in the dataset is 1425 meV per atom. Its energy relative to the elements is 1435 meV/atom.